Entry from Alexandria via LeMat-Bulk: a relaxed structure of Al2PAu2 (PBE-GGA).

POSCAR file:
```
Al2PAu2
1.0
7.587 0.000 0.000
0.000 7.587 0.000
0.000 0.000 3.055
Al P Au
4 2 4
Direct
0.175 0.325 0.000
0.325 0.825 0.000
0.675 0.175 0.000
0.825 0.675 0.000
0.000 0.000 0.000
0.500 0.500 0.000
0.129 0.629 0.500
0.371 0.129 0.500
0.629 0.871 0.500
0.871 0.371 0.500
```

Results
Its energy is -3.870 eV per atom.

Entry from Alexandria via LeMat-Bulk: a relaxed structure of PaAlHgAu (PBE-GGA).

POSCAR file:
```
PaAlHgAu
1.0
0.000 3.508 3.508
3.508 0.000 3.508
3.508 3.508 0.000
Pa Al Hg Au
1 1 1 1
Direct
0.000 0.000 0.000
0.500 0.500 0.500
0.250 0.250 0.250
0.750 0.750 0.750
```

Results
Its energy is -4.381 eV per atom.

Which of these has the highest energy?
Al2PAu2

What is the energy in the second record?
-4.381 eV per atom

Number 1 is which compound?
Al2PAu2

Which value of energy does entry 1 give?
-3.870 eV per atom